No. 1
VASP calculation (PBEsol) on a relaxed KCaTl2 crystal.

a b c (Å): 3.728 5.555 5.822
angles (deg): 90.00 90.00 90.00
Fractional positions:
Ca 0.500 0.000 0.593
Tl 0.000 0.500 0.677
Tl 0.000 0.000 0.061
K 0.500 0.500 0.168

Total magnetic moment ... 0.0 μB/f.u.
Calculated formation energy ... -211 meV/atom
Mass density ... 6.72 g/cm3

No. 2
VASP calculation (PBEsol) on a relaxed KCaTl2 crystal.

a b c (Å): 3.831 3.835 8.502
angles (deg): 90.00 90.00 90.00
Fractional positions:
Ca 0.500 0.500 0.500
Tl 0.000 0.000 0.287
Tl 0.000 0.000 0.713
K 0.500 0.500 0.000

Total magnetic moment ... 0.0 μB/f.u.
Calculated formation energy ... -245 meV/atom
Mass density ... 6.49 g/cm3

No. 3
VASP calculation (PBEsol) on a relaxed KCa2Tl crystal.

a b c (Å): 4.051 4.051 9.553
angles (deg): 90.00 90.00 90.00
Fractional positions:
K 0.000 0.000 0.548
Tl 0.500 0.500 0.801
Ca 0.000 0.000 0.946
Ca 0.500 0.500 0.205

Total magnetic moment ... 0.0 μB/f.u.
Calculated formation energy ... -93 meV/atom
Mass density ... 3.43 g/cm3